Compound: K2TeRu
Source: the Alexandria database
Functional: PBE-GGA
Structure: optimized geometry

a = 11.4517 Å, b = 11.4517 Å, c = 11.4517 Å
α = 17.13°, β = 17.13°, γ = 17.13°
Each line ends with the local moment (μB).
Fractional positions:
Te 0.7500 0.7500 0.7500  0.07
K 0.9970 0.9970 0.9970  -0.01
K 0.5030 0.5030 0.5030  -0.01
Ru 0.2500 0.2500 0.2500  1.93

Output
- formation energy (no corrections) (eV/atom) = 0.676
- VASP energy (eV per formula unit) = -11.9